SrV2AgS | GGA-PBE | optimized geometry

Structure (POSCAR):
```
SrV2AgS
1.0
4.4635 0.0000 0.0000
0.0000 5.5404 0.0000
0.0000 0.0000 4.4635
Sr S Ag V
1 1 1 2
Direct
0.0000 0.5000 0.0000
0.0000 0.0000 0.0000
0.5000 0.5000 0.5000
0.0000 0.0000 0.5000
0.5000 0.0000 0.0000
```


Sr4Y3AgS8 | GGA-PBE | optimized geometry

Structure (POSCAR):
```
Sr4Y3AgS8
1.0
8.1664 0.0000 0.0000
0.0000 8.2076 0.0237
-4.0832 -4.0795 5.7782
Sr Y Ag S
4 3 1 8
Direct
0.5000 0.0000 0.0000
0.5000 0.0000 0.5000
0.0000 0.0000 0.0000
0.0000 0.0000 0.5000
0.5000 0.5000 0.0000
0.5000 0.5000 0.5000
0.0000 0.5000 0.5000
0.0000 0.5000 0.0000
0.2470 0.7300 0.9830
0.2470 0.7300 0.4940
0.2568 0.2705 0.5137
0.7360 0.7300 0.9830
0.2640 0.2700 0.0170
0.7432 0.7295 0.4863
0.7530 0.2700 0.5060
0.7530 0.2700 0.0170
```


It is found that the total DFT energy (no corrections) values, taken in the order of the records, are -5.252, -5.742 eV/atom.